The following is a PBE calculation of a relaxed structure of Y2RePt, from the Alexandria database.

**ΔH_f (0 K)**: 2.2 eV/f.u.
**ρ**: 10.1 Mg/m³
**Size of the total moment**: 0.86 μB/f.u.
**Energy**: -7.3078 eV/atom

a = 4.4301 Å, b = 4.4301 Å, c = 18.7521 Å
α = 90.00°, β = 90.00°, γ = 90.00°
Closest atoms and distances in Å follow each position.
Sites, in units of the cell vectors:
Y  0.2476  0.2500  0.1250  2 Re 2.81, 2 Pt 2.82, 4 Y 3.12-3.15
Y  0.2500  0.7476  0.3750  2 Re 2.81, 2 Pt 2.82, 4 Y 3.12-3.15
Y  0.2500  0.7524  0.8750  2 Re 2.81, 2 Pt 2.82, 4 Y 3.12-3.15
Y  0.2524  0.2500  0.6250  2 Re 2.81, 2 Pt 2.82, 4 Y 3.12-3.15
Y  0.7476  0.7500  0.6250  2 Re 2.81, 2 Pt 2.82, 4 Y 3.12-3.15
Y  0.7500  0.2476  0.8750  2 Re 2.81, 2 Pt 2.82, 4 Y 3.12-3.15
Y  0.7500  0.2524  0.3750  2 Re 2.81, 2 Pt 2.82, 4 Y 3.12-3.15
Y  0.7524  0.7500  0.1250  2 Re 2.81, 2 Pt 2.82, 4 Y 3.12-3.15
Re  0.0000  0.0000  0.0000  4 Y 2.81, 4 Pt 3.13
Re  0.0000  0.5000  0.2500  4 Y 2.81, 4 Pt 3.13
Re  0.5000  0.0000  0.7500  4 Y 2.81, 4 Pt 3.13
Re  0.5000  0.5000  0.5000  4 Y 2.81, 4 Pt 3.13
Pt  0.0000  0.0000  0.5000  4 Y 2.82, 4 Re 3.13
Pt  0.0000  0.5000  0.7500  4 Y 2.82, 4 Re 3.13
Pt  0.5000  0.0000  0.2500  4 Y 2.82, 4 Re 3.13
Pt  0.5000  0.5000  0.0000  4 Y 2.82, 4 Re 3.13

---

The following is a PBE calculation of a relaxed structure of YRePt2, from the Alexandria database.

**ΔH_f (0 K)**: -1.4 eV/f.u.
**ρ**: 15.8 Mg/m³
**Size of the total moment**: 0.00 μB/f.u.
**Energy**: -8.1064 eV/atom

a = 2.8917 Å, b = 4.7066 Å, c = 5.1305 Å
α = 90.00°, β = 90.00°, γ = 90.00°
Closest atoms and distances in Å follow each position.
Sites, in units of the cell vectors:
Y  0.0000  0.0000  0.0000  8 Pt 2.89-2.98, 2 Y 2.89, 2 Re 3.06
Re  0.0000  0.5000  0.3814  6 Pt 2.75-2.82, 2 Re 2.89, 2 Y 3.06
Pt  0.5000  0.0000  0.4915  4 Re 2.82, 4 Pt 2.89-2.94, 4 Y 2.91-2.98
Pt  0.5000  0.5000  0.8362  2 Re 2.75, 4 Y 2.89, 4 Pt 2.89-2.94

---

The following is a PBE calculation of a relaxed structure of Y2RePt, from the Alexandria database.

**ΔH_f (0 K)**: 1.3 eV/f.u.
**ρ**: 9.6 Mg/m³
**Size of the total moment**: 0.00 μB/f.u.
**Energy**: -7.5276 eV/atom

a = 3.4984 Å, b = 3.4984 Å, c = 27.3583 Å
α = 90.00°, β = 90.00°, γ = 120.00°
Closest atoms and distances in Å follow each position.
Sites, in units of the cell vectors:
Y  0.0000  0.0000  0.0000  3 Re 2.92
Y  0.0000  0.0000  0.2112  3 Pt 2.78
Y  0.3333  0.6667  0.6667  3 Re 2.92
Y  0.3333  0.6667  0.8778  3 Pt 2.78
Y  0.6667  0.3333  0.3333  3 Re 2.92
Y  0.6667  0.3333  0.5445  3 Pt 2.78
Re  0.0000  0.0000  0.7440  3 Pt 2.67, 3 Y 2.92
Re  0.3333  0.6667  0.4107  3 Pt 2.67, 3 Y 2.92
Re  0.6667  0.3333  0.0773  3 Pt 2.67, 3 Y 2.92
Pt  0.0000  0.0000  0.4744  3 Re 2.67, 3 Y 2.78
Pt  0.3333  0.6667  0.1411  3 Re 2.67, 3 Y 2.78
Pt  0.6667  0.3333  0.8078  3 Re 2.67, 3 Y 2.78

---

The following is a PBE calculation of a relaxed structure of YRePt2, from the Alexandria database.

**ΔH_f (0 K)**: 0.6 eV/f.u.
**ρ**: 15.7 Mg/m³
**Size of the total moment**: 0.00 μB/f.u.
**Energy**: -7.6027 eV/atom

a = 2.9040 Å, b = 2.9040 Å, c = 28.8916 Å
α = 90.00°, β = 90.00°, γ = 120.00°
Closest atoms and distances in Å follow each position.
Sites, in units of the cell vectors:
Y  0.0000  0.0000  0.0000  6 Y 2.90, 3 Pt 3.00, 3 Re 3.16
Y  0.3333  0.6667  0.6667  6 Y 2.90, 3 Pt 3.00, 3 Re 3.16
Y  0.6667  0.3333  0.3333  6 Y 2.90, 3 Pt 3.00, 3 Re 3.16
Re  0.0000  0.0000  0.2408  3 Pt 2.70, 6 Re 2.90
Re  0.3333  0.6667  0.9075  3 Pt 2.70, 6 Re 2.90
Re  0.6667  0.3333  0.5741  3 Pt 2.70, 6 Re 2.90
Pt  0.0000  0.0000  0.5007  3 Re 2.70, 9 Pt 2.89-2.90
Pt  0.0000  0.0000  0.7527  9 Pt 2.89-2.90, 3 Y 3.00
Pt  0.3333  0.6667  0.1674  3 Re 2.70, 9 Pt 2.89-2.90
Pt  0.3333  0.6667  0.4194  9 Pt 2.89-2.90, 3 Y 3.00
Pt  0.6667  0.3333  0.0860  9 Pt 2.89-2.90, 3 Y 3.00
Pt  0.6667  0.3333  0.8341  3 Re 2.70, 9 Pt 2.89-2.90

---

Among the records above, which one has the lowest ρ? number 3

---

The highest ΔH_f (0 K) belongs to which entry? number 1

---

The lowest energy belongs to which entry? number 2

---

Look up the energy of the second one. -8.1064 eV/atom